No. 1
# LuTaZn

A geometry-optimized LuTaZn structure (GGA-PBE, the Open Quantum Materials Database).

a b c (Å): 6.6073 6.6073 6.6073
angles (deg): 90.00 90.00 90.00
Space group F-43m (No. 216)
Inequivalent atoms, fractional coordinates:
Lu  0.0000  0.0000  0.0000 (multiplicity 4)
Ta  0.2500  0.2500  0.2500 (multiplicity 4)
Zn  0.0000  0.0000  0.5000 (multiplicity 4)

## Properties
The formation energy is 1040 meV/atom. The calculation puts the polymorph energy (0 for the lowest one) at 0.000 eV/atom.


No. 2
# ErScZnNi2

A geometry-optimized ErScZnNi2 structure (GGA-PBE, the Open Quantum Materials Database).

a b c (Å): 4.1699 5.2603 7.7384
angles (deg): 90.00 90.00 90.00
Space group Imm2 (No. 44)
Inequivalent atoms, fractional coordinates:
Er  0.0000  0.0000  0.0000 (multiplicity 2)
Sc  0.0000  0.0000  0.4079 (multiplicity 2)
Zn  0.0000  0.5000  0.2026 (multiplicity 2)
Ni  0.0000  0.2712  0.7024 (multiplicity 4)

## Properties
The formation energy is -496 meV/atom.


No. 3
# BaGdGe2

A geometry-optimized BaGdGe2 structure (GGA-PBE, the Open Quantum Materials Database).

a b c (Å): 3.4004 6.2545 11.9513
angles (deg): 90.00 90.00 90.00
Space group Amm2 (No. 38)
Inequivalent atoms, fractional coordinates:
Ba  0.0000  0.0000  0.0000 (multiplicity 2)
Gd  0.0000  0.0000  0.2914 (multiplicity 2)
Ge  0.0000  0.0000  0.5256 (multiplicity 2)
Ge  0.0000  0.0000  0.7315 (multiplicity 2)

## Properties
The calculation puts the total DFT energy (no corrections) at -3.8191 eV per atom.


No. 4
# SrTmAgO3

A geometry-optimized SrTmAgO3 structure (GGA-PBE, the Open Quantum Materials Database).

a b c (Å): 3.5534 12.7073 8.6801
angles (deg): 90.00 90.00 90.00
Space group Cmcm (No. 63)
Inequivalent atoms, fractional coordinates:
Sr  0.0000  0.1772  0.2500 (multiplicity 4)
Tm  0.0000  0.5000  0.0000 (multiplicity 4)
Ag  0.0000  0.1164  0.7500 (multiplicity 4)
O  0.0000  0.1131  0.5138 (multiplicity 8)
O  0.0000  0.4500  0.7500 (multiplicity 4)

## Properties
The calculation puts the total DFT energy (no corrections) at -6.3011 eV per atom.


no.,theoretical density (Mg/m³),total magnetization (μB/f.u.)
1,9.70,1.07
2,7.73,0.00
3,5.75,0.00
4,6.99,0.00